# PBE+U PmCo2AsO6, relaxed
data_PmCo2AsO6
_chemical_formula_sum 'Pm1 Co2 As1 O6'
_cell_length_a 5.3040
_cell_length_b 5.3039
_cell_length_c 5.5989
_cell_angle_alpha 61.73
_cell_angle_beta 61.72
_cell_angle_gamma 60.00
_space_group_name_H-M_alt 'P 1'
_space_group_IT_number 1
loop_
_space_group_symop_operation_xyz
'x,y,z'
loop_
_atom_site_label
_atom_site_type_symbol
_atom_site_fract_x
_atom_site_fract_y
_atom_site_fract_z
_atom_site_occupancy
O1 O 0.7236 0.1735 0.7667 1
O2 O 0.1735 0.3362 0.7667 1
O3 O 0.9001 0.6438 0.2197 1
O4 O 0.6438 0.2363 0.2198 1
O5 O 0.3362 0.7236 0.7667 1
O6 O 0.2364 0.9001 0.2197 1
Co1 Co 0.0049 0.0049 0.9853 1
Co2 Co 0.5296 0.5296 0.4113 1
As1 As 0.3237 0.3236 0.0290 1
Pm1 Pm 0.7899 0.7899 0.6302 1
# * final energy: -6.50 eV/atom
# * symmetry: R3, No. 146
# * volume: 11.42 Å³/atom


# PBE+U CoAs2PtO8, relaxed
data_CoAs2PtO8
_chemical_formula_sum 'Co1 As2 Pt1 O8'
_cell_length_a 5.5067
_cell_length_b 5.5067
_cell_length_c 5.8680
_cell_angle_alpha 90.00
_cell_angle_beta 90.00
_cell_angle_gamma 120.00
_space_group_name_H-M_alt 'P 1'
_space_group_IT_number 1
loop_
_space_group_symop_operation_xyz
'x,y,z'
loop_
_atom_site_label
_atom_site_type_symbol
_atom_site_fract_x
_atom_site_fract_y
_atom_site_fract_z
_atom_site_occupancy
O1 O 0.1524 0.8476 0.7560 1
O2 O 0.3333 0.6667 0.4015 1
O3 O 0.3049 0.1524 0.2440 1
O4 O 0.8476 0.1524 0.2440 1
O5 O 0.8476 0.6951 0.2440 1
O6 O 0.6667 0.3333 0.5985 1
O7 O 0.1524 0.3049 0.7560 1
O8 O 0.6951 0.8476 0.7560 1
As1 As 0.3333 0.6667 0.6822 1
As2 As 0.6667 0.3333 0.3178 1
Pt1 Pt 0.0000 0.0000 0.0000 1
Co1 Co 0.0000 0.0000 0.5000 1
# * final energy: -5.63 eV/atom
# * symmetry: P-3m1, No. 164
# * volume: 12.84 Å³/atom


# PBE+U CoAsPtO6, relaxed
data_CoAsPtO6
_chemical_formula_sum 'Co2 As2 Pt2 O12'
_cell_length_a 5.0533
_cell_length_b 5.0533
_cell_length_c 8.7538
_cell_angle_alpha 90.00
_cell_angle_beta 90.00
_cell_angle_gamma 120.00
_space_group_name_H-M_alt 'P 1'
_space_group_IT_number 1
loop_
_space_group_symop_operation_xyz
'x,y,z'
loop_
_atom_site_label
_atom_site_type_symbol
_atom_site_fract_x
_atom_site_fract_y
_atom_site_fract_z
_atom_site_occupancy
Co1 Co 0.0000 0.0000 0.5000 1
Co2 Co 0.0000 0.0000 0.0000 1
Pt1 Pt 0.6667 0.3333 0.7500 1
Pt2 Pt 0.3333 0.6667 0.2500 1
As1 As 0.3333 0.6667 0.7500 1
As2 As 0.6667 0.3333 0.2500 1
O1 O 0.6398 0.9806 0.8676 1
O2 O 0.6592 0.6398 0.1324 1
O3 O 0.6592 0.0194 0.3676 1
O4 O 0.6398 0.6592 0.6324 1
O5 O 0.3602 0.3408 0.3676 1
O6 O 0.9806 0.3408 0.1324 1
O7 O 0.0194 0.3602 0.6324 1
O8 O 0.3408 0.9806 0.6324 1
O9 O 0.3602 0.0194 0.1324 1
O10 O 0.3408 0.3602 0.8676 1
O11 O 0.0194 0.6592 0.8676 1
O12 O 0.9806 0.6398 0.3676 1
# * final energy: -5.92 eV/atom
# * symmetry: P-31c, No. 163
# * volume: 10.75 Å³/atom


# PBE+U CoAsPtO2, relaxed
data_CoAsPtO2
_chemical_formula_sum 'Co1 As1 Pt1 O2'
_cell_length_a 3.7146
_cell_length_b 5.1179
_cell_length_c 3.7146
_cell_angle_alpha 90.00
_cell_angle_beta 90.00
_cell_angle_gamma 90.00
_space_group_name_H-M_alt 'P 1'
_space_group_IT_number 1
loop_
_space_group_symop_operation_xyz
'x,y,z'
loop_
_atom_site_label
_atom_site_type_symbol
_atom_site_fract_x
_atom_site_fract_y
_atom_site_fract_z
_atom_site_occupancy
As1 As 0.0000 0.0000 0.0000 1
Pt1 Pt 0.0000 0.5000 0.0000 1
O1 O 0.5000 0.0000 0.0000 1
O2 O 0.0000 0.0000 0.5000 1
Co1 Co 0.5000 0.5000 0.5000 1
# * final energy: -5.11 eV/atom
# * symmetry: P4/mmm, No. 123
# * volume: 14.12 Å³/atom


# PBE+U Rb2CoAsO, relaxed
data_Rb2CoAsO
_chemical_formula_sum 'Rb2 Co1 As1 O1'
_cell_length_a 6.7868
_cell_length_b 3.9677
_cell_length_c 6.7868
_cell_angle_alpha 90.00
_cell_angle_beta 90.00
_cell_angle_gamma 90.00
_space_group_name_H-M_alt 'P 1'
_space_group_IT_number 1
loop_
_space_group_symop_operation_xyz
'x,y,z'
loop_
_atom_site_label
_atom_site_type_symbol
_atom_site_fract_x
_atom_site_fract_y
_atom_site_fract_z
_atom_site_occupancy
Rb1 Rb 0.0000 0.0000 0.5000 1
Rb2 Rb 0.5000 0.0000 0.0000 1
Co1 Co 0.5000 0.5000 0.5000 1
As1 As 0.0000 0.0000 0.0000 1
O1 O 0.0000 0.5000 0.0000 1
# * final energy: -3.02 eV/atom
# * symmetry: P4/mmm, No. 123
# * volume: 36.55 Å³/atom


# PBE+U Co2AsRhO6, relaxed
data_Co2AsRhO6
_chemical_formula_sum 'Co2 As1 Rh1 O6'
_cell_length_a 5.1189
_cell_length_b 5.1189
_cell_length_c 5.4452
_cell_angle_alpha 61.96
_cell_angle_beta 61.96
_cell_angle_gamma 60.00
_space_group_name_H-M_alt 'P 1'
_space_group_IT_number 1
loop_
_space_group_symop_operation_xyz
'x,y,z'
loop_
_atom_site_label
_atom_site_type_symbol
_atom_site_fract_x
_atom_site_fract_y
_atom_site_fract_z
_atom_site_occupancy
O1 O 0.1237 0.4245 0.7454 1
O2 O 0.5980 0.2395 0.2562 1
O3 O 0.4245 0.7064 0.7454 1
O4 O 0.9062 0.5980 0.2562 1
O5 O 0.2395 0.9062 0.2562 1
O6 O 0.7064 0.1237 0.7454 1
As1 As 0.3082 0.3082 0.0754 1
Rh1 Rh 0.8215 0.8215 0.5354 1
Co1 Co 0.5080 0.5080 0.4760 1
Co2 Co 0.0255 0.0255 0.9235 1
# * final energy: -6.07 eV/atom
# * symmetry: R3, No. 146
# * volume: 10.38 Å³/atom


# PBE+U CoAsRh2O6, relaxed
data_CoAsRh2O6
_chemical_formula_sum 'Co1 As1 Rh2 O6'
_cell_length_a 5.2195
_cell_length_b 5.2191
_cell_length_c 5.5567
_cell_angle_alpha 61.98
_cell_angle_beta 61.98
_cell_angle_gamma 60.00
_space_group_name_H-M_alt 'P 1'
_space_group_IT_number 1
loop_
_space_group_symop_operation_xyz
'x,y,z'
loop_
_atom_site_label
_atom_site_type_symbol
_atom_site_fract_x
_atom_site_fract_y
_atom_site_fract_z
_atom_site_occupancy
Rh1 Rh 0.0133 0.0133 0.9602 1
Rh2 Rh 0.5160 0.5160 0.4519 1
As1 As 0.3168 0.3167 0.0499 1
O1 O 0.1215 0.4135 0.7553 1
O2 O 0.4136 0.7097 0.7553 1
O3 O 0.9244 0.6103 0.2388 1
O4 O 0.7097 0.1215 0.7552 1
O5 O 0.2265 0.9245 0.2388 1
O6 O 0.6101 0.2266 0.2388 1
Co1 Co 0.8097 0.8095 0.5712 1
# * final energy: -6.25 eV/atom
# * symmetry: R3, No. 146
# * volume: 11.01 Å³/atom


# PBE+U CoAsRhO6, relaxed
data_CoAsRhO6
_chemical_formula_sum 'Co2 As2 Rh2 O12'
_cell_length_a 5.0214
_cell_length_b 5.0214
_cell_length_c 8.7681
_cell_angle_alpha 90.00
_cell_angle_beta 90.00
_cell_angle_gamma 120.00
_space_group_name_H-M_alt 'P 1'
_space_group_IT_number 1
loop_
_space_group_symop_operation_xyz
'x,y,z'
loop_
_atom_site_label
_atom_site_type_symbol
_atom_site_fract_x
_atom_site_fract_y
_atom_site_fract_z
_atom_site_occupancy
Co1 Co 0.0000 0.0000 0.5000 1
Co2 Co 0.0000 0.0000 0.0000 1
O1 O 0.0175 0.6587 0.8665 1
O2 O 0.6412 0.9825 0.8665 1
O3 O 0.6587 0.6412 0.1335 1
O4 O 0.3413 0.3588 0.8665 1
O5 O 0.0175 0.3588 0.6335 1
O6 O 0.6412 0.6587 0.6335 1
O7 O 0.3413 0.9825 0.6335 1
O8 O 0.3588 0.0175 0.1335 1
O9 O 0.6587 0.0175 0.3665 1
O10 O 0.9825 0.3413 0.1335 1
O11 O 0.3588 0.3413 0.3665 1
O12 O 0.9825 0.6412 0.3665 1
Rh1 Rh 0.6667 0.3333 0.7500 1
Rh2 Rh 0.3333 0.6667 0.2500 1
As1 As 0.6667 0.3333 0.2500 1
As2 As 0.3333 0.6667 0.7500 1
# * final energy: -6.12 eV/atom
# * symmetry: P-31c, No. 163
# * volume: 10.64 Å³/atom


# PBE+U Co2AsRuO6, relaxed
data_Co2AsRuO6
_chemical_formula_sum 'Co2 As1 Ru1 O6'
_cell_length_a 5.1212
_cell_length_b 5.1211
_cell_length_c 5.4163
_cell_angle_alpha 61.79
_cell_angle_beta 61.78
_cell_angle_gamma 60.00
_space_group_name_H-M_alt 'P 1'
_space_group_IT_number 1
loop_
_space_group_symop_operation_xyz
'x,y,z'
loop_
_atom_site_label
_atom_site_type_symbol
_atom_site_fract_x
_atom_site_fract_y
_atom_site_fract_z
_atom_site_occupancy
Ru1 Ru 0.8194 0.8194 0.5419 1
O1 O 0.4276 0.7055 0.7426 1
O2 O 0.5988 0.2380 0.2539 1
O3 O 0.2380 0.9092 0.2539 1
O4 O 0.1242 0.4277 0.7426 1
O5 O 0.7055 0.1242 0.7427 1
O6 O 0.9092 0.5988 0.2540 1
Co1 Co 0.5083 0.5083 0.4750 1
Co2 Co 0.0226 0.0226 0.9322 1
As1 As 0.3079 0.3078 0.0764 1
# * final energy: -6.28 eV/atom
# * symmetry: R3, No. 146
# * volume: 10.31 Å³/atom